# 1
Material: DyMgNi2H8
Method: DFT, PBE
State: optimized geometry

Summary:
Density ... 5.18 Mg/m³
Total magnetic moment ... 0.0 μB per cell
Symmetry ... No. 148
Calculated total energy ... -3.85 eV/atom

```
data_DyMgNi2H8
_cell_length_a 6.0640
_cell_length_b 6.0640
_cell_length_c 6.0640
_cell_angle_alpha 44.62
_cell_angle_beta 44.62
_cell_angle_gamma 44.62
_space_group_name_H-M_alt 'P 1'
_space_group_IT_number 1
loop_
_space_group_symop_operation_xyz
'x,y,z'
loop_
_atom_site_label
_atom_site_fract_x
_atom_site_fract_y
_atom_site_fract_z
_atom_site_occupancy
Dy1 0.0000 0.0000 0.0000 1
Mg1 0.5000 0.5000 0.5000 1
Ni1 0.2287 0.2287 0.2287 1
Ni2 0.7713 0.7713 0.7713 1
H1 0.0908 0.4119 0.8095 1
H2 0.1905 0.9092 0.5881 1
H3 0.3214 0.3214 0.3214 1
H4 0.4119 0.8095 0.0908 1
H5 0.5881 0.1905 0.9092 1
H6 0.6786 0.6786 0.6786 1
H7 0.8095 0.0908 0.4119 1
H8 0.9092 0.5881 0.1905 1
```


# 2
Material: Pu2ZrCd6
Method: DFT, PBE
State: optimized geometry

Summary:
Density ... 10.04 Mg/m³
E_form ... -2.08 kcal/mol of atoms
Total magnetic moment ... 12.0 μB per cell
Symmetry ... No. 191
Calculated total energy ... -4.84 eV/atom

```
data_Pu2ZrCd6
_cell_length_a 8.8541
_cell_length_b 8.8541
_cell_length_c 3.0554
_cell_angle_alpha 90.00
_cell_angle_beta 90.00
_cell_angle_gamma 120.00
_space_group_name_H-M_alt 'P 1'
_space_group_IT_number 1
loop_
_space_group_symop_operation_xyz
'x,y,z'
loop_
_atom_site_label
_atom_site_fract_x
_atom_site_fract_y
_atom_site_fract_z
_atom_site_occupancy
Pu1 0.3333 0.6667 0.0000 1
Pu2 0.6667 0.3333 0.0000 1
Zr1 0.0000 0.0000 0.0000 1
Cd1 0.0000 0.3270 0.5000 1
Cd2 0.0000 0.6730 0.5000 1
Cd3 0.3270 0.0000 0.5000 1
Cd4 0.3270 0.3270 0.5000 1
Cd5 0.6730 0.0000 0.5000 1
Cd6 0.6730 0.6730 0.5000 1
```


# 3
Material: ErGaO3
Method: DFT, PBE
State: optimized geometry

Summary:
Density ... 7.03 Mg/m³
Total magnetic moment ... 0.0 μB per cell
Symmetry ... No. 15
Calculated total energy ... -7.24 eV/atom
Formation energy without anion corrections ... -13.75 eV/f.u.

```
data_ErGaO3
_cell_length_a 6.9681
_cell_length_b 6.9681
_cell_length_c 5.6647
_cell_angle_alpha 98.05
_cell_angle_beta 98.05
_cell_angle_gamma 86.41
_space_group_name_H-M_alt 'P 1'
_space_group_IT_number 1
loop_
_space_group_symop_operation_xyz
'x,y,z'
loop_
_atom_site_label
_atom_site_fract_x
_atom_site_fract_y
_atom_site_fract_z
_atom_site_occupancy
Er1 0.0979 0.9021 0.7500 1
Er2 0.2992 0.7008 0.2500 1
Er3 0.7008 0.2992 0.7500 1
Er4 0.9021 0.0979 0.2500 1
Ga1 0.2064 0.3909 0.7086 1
Ga2 0.3909 0.2064 0.2086 1
Ga3 0.6091 0.7936 0.7914 1
Ga4 0.7936 0.6091 0.2914 1
O1 0.0125 0.2095 0.6343 1
O2 0.1425 0.6229 0.8820 1
O3 0.2095 0.0125 0.1343 1
O4 0.2913 0.4204 0.4108 1
O5 0.3771 0.8575 0.6180 1
O6 0.4204 0.2913 0.9108 1
O7 0.5796 0.7087 0.0892 1
O8 0.6229 0.1425 0.3820 1
O9 0.7087 0.5796 0.5892 1
O10 0.7905 0.9875 0.8657 1
O11 0.8575 0.3771 0.1180 1
O12 0.9875 0.7905 0.3657 1
```


# 4
Material: In7Ag
Method: DFT, PBE
State: optimized geometry

Summary:
Density ... 7.40 Mg/m³
E_form ... 1.00 kcal/mol of atoms
Total magnetic moment ... 0.0 μB per cell
Symmetry ... No. 225
Calculated total energy ... -2.71 eV/atom

```
data_In7Ag
_cell_length_a 6.6139
_cell_length_b 6.6139
_cell_length_c 6.6139
_cell_angle_alpha 60.00
_cell_angle_beta 60.00
_cell_angle_gamma 60.00
_space_group_name_H-M_alt 'P 1'
_space_group_IT_number 1
loop_
_space_group_symop_operation_xyz
'x,y,z'
loop_
_atom_site_label
_atom_site_fract_x
_atom_site_fract_y
_atom_site_fract_z
_atom_site_occupancy
In1 0.0000 0.0000 0.0000 1
In2 0.0000 0.0000 0.5000 1
In3 0.0000 0.5000 0.0000 1
In4 0.0000 0.5000 0.5000 1
In5 0.5000 0.0000 0.0000 1
In6 0.5000 0.0000 0.5000 1
In7 0.5000 0.5000 0.0000 1
Ag1 0.5000 0.5000 0.5000 1
```


# 5
Material: TbGdDyHo
Method: DFT, PBE
State: optimized geometry

Summary:
Density ... 8.32 Mg/m³
E_form ... 2.80 kcal/mol of atoms
Total magnetic moment ... 8.8 μB per cell
Symmetry ... No. 216
Calculated total energy ... -6.85 eV/atom

```
data_TbGdDyHo
_cell_length_a 5.6633
_cell_length_b 5.6633
_cell_length_c 5.6633
_cell_angle_alpha 60.00
_cell_angle_beta 60.00
_cell_angle_gamma 60.00
_space_group_name_H-M_alt 'P 1'
_space_group_IT_number 1
loop_
_space_group_symop_operation_xyz
'x,y,z'
loop_
_atom_site_label
_atom_site_fract_x
_atom_site_fract_y
_atom_site_fract_z
_atom_site_occupancy
Tb1 0.0000 0.0000 0.0000 1
Gd1 0.5000 0.5000 0.5000 1
Dy1 0.2500 0.2500 0.2500 1
Ho1 0.7500 0.7500 0.7500 1
```


# 6
Material: ErB2Os
Method: DFT, PBE
State: optimized geometry

Summary:
Density ... 12.76 Mg/m³
E_form ... -14.02 kcal/mol of atoms
Total magnetic moment ... 0.0 μB per cell
Symmetry ... No. 62
Calculated total energy ... -7.89 eV/atom
ΔE to the lowest computed polymorph ... 0.0 meV/atom

```
data_ErB2Os
_cell_length_a 5.8692
_cell_length_b 5.2933
_cell_length_c 6.3525
_cell_angle_alpha 90.00
_cell_angle_beta 90.00
_cell_angle_gamma 90.00
_space_group_name_H-M_alt 'P 1'
_space_group_IT_number 1
loop_
_space_group_symop_operation_xyz
'x,y,z'
loop_
_atom_site_label
_atom_site_fract_x
_atom_site_fract_y
_atom_site_fract_z
_atom_site_occupancy
Er1 0.0100 0.2500 0.1653 1
Er2 0.4900 0.7500 0.6653 1
Er3 0.5100 0.2500 0.3347 1
Er4 0.9900 0.7500 0.8347 1
B1 0.1382 0.5821 0.4613 1
B2 0.1382 0.9179 0.4613 1
B3 0.3618 0.0821 0.9613 1
B4 0.3618 0.4179 0.9613 1
B5 0.6382 0.5821 0.0387 1
B6 0.6382 0.9179 0.0387 1
B7 0.8618 0.0821 0.5387 1
B8 0.8618 0.4179 0.5387 1
Os1 0.1771 0.2500 0.6804 1
Os2 0.3229 0.7500 0.1804 1
Os3 0.6771 0.2500 0.8196 1
Os4 0.8229 0.7500 0.3196 1
```


# 7
Material: NbAgAs2Se
Method: DFT, PBE
State: optimized geometry

Summary:
Density ... 6.08 Mg/m³
Total magnetic moment ... 0.0 μB per cell
Symmetry ... No. 123
Calculated total energy ... -4.00 eV/atom
Formation energy without anion corrections ... 5.70 eV/f.u.
ΔE to the lowest computed polymorph ... 845.9 meV/atom

```
data_NbAgAs2Se
_cell_length_a 4.8683
_cell_length_b 4.8683
_cell_length_c 4.9528
_cell_angle_alpha 90.00
_cell_angle_beta 90.00
_cell_angle_gamma 90.00
_space_group_name_H-M_alt 'P 1'
_space_group_IT_number 1
loop_
_space_group_symop_operation_xyz
'x,y,z'
loop_
_atom_site_label
_atom_site_fract_x
_atom_site_fract_y
_atom_site_fract_z
_atom_site_occupancy
Nb1 0.0000 0.0000 0.0000 1
Ag1 0.5000 0.5000 0.5000 1
As1 0.0000 0.5000 0.5000 1
As2 0.5000 0.0000 0.5000 1
Se1 0.5000 0.5000 0.0000 1
```


# 8
Material: Re3Sb
Method: DFT, PBE
State: optimized geometry

Summary:
Density ... 17.09 Mg/m³
Total magnetic moment ... 0.0 μB per cell
Symmetry ... No. 25
Calculated total energy ... -9.84 eV/atom
Formation energy without anion corrections ... 2.09 eV/f.u.
ΔE to the lowest computed polymorph ... 104.2 meV/atom

```
data_Re3Sb
_cell_length_a 2.9969
_cell_length_b 4.6440
_cell_length_c 4.7495
_cell_angle_alpha 90.00
_cell_angle_beta 90.00
_cell_angle_gamma 90.00
_space_group_name_H-M_alt 'P 1'
_space_group_IT_number 1
loop_
_space_group_symop_operation_xyz
'x,y,z'
loop_
_atom_site_label
_atom_site_fract_x
_atom_site_fract_y
_atom_site_fract_z
_atom_site_occupancy
Re1 0.0000 0.0000 0.0000 1
Re2 0.0000 0.5000 0.2652 1
Re3 0.5000 0.0000 0.4811 1
Sb1 0.5000 0.5000 0.7875 1
```


# 9
Material: Li2CaAu6
Method: DFT, PBE
State: optimized geometry

Summary:
Density ... 10.64 Mg/m³
E_form ... -6.03 kcal/mol of atoms
Total magnetic moment ... 0.0 μB per cell
Symmetry ... No. 227
Calculated total energy ... -3.09 eV/atom
ΔE to the lowest computed polymorph ... 151.3 meV/atom

```
data_Li2CaAu6
_cell_length_a 8.1707
_cell_length_b 8.1707
_cell_length_c 8.1707
_cell_angle_alpha 60.00
_cell_angle_beta 60.00
_cell_angle_gamma 60.00
_space_group_name_H-M_alt 'P 1'
_space_group_IT_number 1
loop_
_space_group_symop_operation_xyz
'x,y,z'
loop_
_atom_site_label
_atom_site_fract_x
_atom_site_fract_y
_atom_site_fract_z
_atom_site_occupancy
Li1 0.0000 0.0000 0.0000 1
Li2 0.0000 0.0000 0.5000 1
Li3 0.0000 0.5000 0.0000 1
Li4 0.5000 0.0000 0.0000 1
Ca1 0.3750 0.3750 0.3750 1
Ca2 0.6250 0.6250 0.6250 1
Au1 0.1270 0.1270 0.6230 1
Au2 0.1270 0.6230 0.1270 1
Au3 0.1270 0.6230 0.6230 1
Au4 0.3770 0.3770 0.8730 1
Au5 0.3770 0.8730 0.3770 1
Au6 0.3770 0.8730 0.8730 1
Au7 0.6230 0.1270 0.1270 1
Au8 0.6230 0.1270 0.6230 1
Au9 0.6230 0.6230 0.1270 1
Au10 0.8730 0.3770 0.3770 1
Au11 0.8730 0.3770 0.8730 1
Au12 0.8730 0.8730 0.3770 1
```


# 10
Material: ThCuSi3
Method: DFT, PBE
State: optimized geometry

Summary:
Density ... 6.93 Mg/m³
Total magnetic moment ... 0.0 μB per cell
Symmetry ... No. 65
Calculated total energy ... -5.95 eV/atom
Formation energy without anion corrections ... -1.97 eV/f.u.

```
data_ThCuSi3
_cell_length_a 10.7117
_cell_length_b 10.7117
_cell_length_c 4.1888
_cell_angle_alpha 90.00
_cell_angle_beta 90.00
_cell_angle_gamma 157.73
_space_group_name_H-M_alt 'P 1'
_space_group_IT_number 1
loop_
_space_group_symop_operation_xyz
'x,y,z'
loop_
_atom_site_label
_atom_site_fract_x
_atom_site_fract_y
_atom_site_fract_z
_atom_site_occupancy
Th1 0.1678 0.8322 0.0000 1
Th2 0.8322 0.1678 0.0000 1
Cu1 0.3901 0.6099 0.5000 1
Cu2 0.6099 0.3901 0.5000 1
Si1 0.0550 0.9450 0.5000 1
Si2 0.2784 0.7216 0.5000 1
Si3 0.4444 0.5556 0.0000 1
Si4 0.5556 0.4444 0.0000 1
Si5 0.7216 0.2784 0.5000 1
Si6 0.9450 0.0550 0.5000 1
```